Density functional theory data (PBE-GGA) for Sm4BCBr2 after structural relaxation.

Output
Magnetization, μB per formula unit: 0.0
Uncorrected formation energy, eV per atom: -0.829

```
data_Sm4BCBr2
_chemical_formula_sum 'Sm4 B1 C1 Br2'
_cell_length_a 6.699
_cell_length_b 3.872
_cell_length_c 7.617
_cell_angle_alpha 90.00
_cell_angle_beta 107.18
_cell_angle_gamma 90.00
_space_group_name_H-M_alt 'P 1 2/m 1'
_space_group_IT_number 10
loop_
_space_group_symop_operation_xyz
'x,y,z'
'-x,-y,-z'
'-x,y,-z'
'x,-y,z'
loop_
_atom_site_label
_atom_site_type_symbol
_atom_site_fract_x
_atom_site_fract_y
_atom_site_fract_z
_atom_site_occupancy
Sm1 Sm 0.223 0.000 0.184 1
Sm2 Sm 0.265 0.500 0.811 1
B1 B 0.500 0.000 0.000 1
C1 C 0.000 0.500 0.000 1
Br1 Br 0.000 0.000 0.500 1
Br2 Br 0.500 0.500 0.500 1
```


Density functional theory data (PBE-GGA) for Zn7Ag2Pd2 after structural relaxation.

Output
Magnetization, μB per formula unit: 0.0
DFT formation energy, eV/atom: -0.162

```
data_Zn7Ag2Pd2
_chemical_formula_sum 'Zn14 Ag4 Pd4'
_cell_length_a 8.652
_cell_length_b 9.161
_cell_length_c 5.106
_cell_angle_alpha 90.00
_cell_angle_beta 120.23
_cell_angle_gamma 90.00
_space_group_name_H-M_alt 'C 1 2/m 1'
_space_group_IT_number 12
loop_
_space_group_symop_operation_xyz
'x,y,z'
'-x,-y,-z'
'-x,y,-z'
'x,-y,z'
'x+1/2,y+1/2,z'
'-x+1/2,-y+1/2,-z'
'-x+1/2,y+1/2,-z'
'x+1/2,-y+1/2,z'
loop_
_atom_site_label
_atom_site_type_symbol
_atom_site_fract_x
_atom_site_fract_y
_atom_site_fract_z
_atom_site_occupancy
Zn1 Zn 0.000 0.000 0.000 1
Zn2 Zn 0.144 0.500 0.446 1
Zn3 Zn 0.174 0.238 0.176 1
Ag1 Ag 0.000 0.159 0.500 1
Pd1 Pd 0.191 0.500 0.988 1
```


Density functional theory data (PBE-GGA) for CuGe2Bi2 after structural relaxation.

Output
Energy above the lowest structure with this stoichiometry, kcal/mol of atoms: 0.00
Magnetization, μB per formula unit: 0.0
DFT formation energy, eV/atom: 0.188

```
data_CuGe2Bi2
_chemical_formula_sum 'Cu2 Ge4 Bi4'
_cell_length_a 6.477
_cell_length_b 6.477
_cell_length_c 5.674
_cell_angle_alpha 90.00
_cell_angle_beta 90.00
_cell_angle_gamma 90.00
_space_group_name_H-M_alt 'P 4/m b m'
_space_group_IT_number 127
_space_group_name_Hall '-P 4 2ab'
loop_
_atom_site_label
_atom_site_type_symbol
_atom_site_fract_x
_atom_site_fract_y
_atom_site_fract_z
_atom_site_occupancy
Cu1 Cu 0.000 0.000 0.000 1
Ge1 Ge 0.143 0.357 0.000 1
Bi1 Bi 0.249 0.749 0.500 1
```


Density functional theory data (PBE-GGA) for La6Ru2SCl3 after structural relaxation.

Output
Magnetization, μB per formula unit: 0.0
Uncorrected formation energy, eV per atom: -1.312

```
data_La6Ru2SCl3
_chemical_formula_sum 'La12 Ru4 S2 Cl6'
_cell_length_a 7.227
_cell_length_b 12.539
_cell_length_c 7.877
_cell_angle_alpha 90.00
_cell_angle_beta 107.42
_cell_angle_gamma 90.00
_space_group_name_H-M_alt 'C 1 2/m 1'
_space_group_IT_number 12
loop_
_space_group_symop_operation_xyz
'x,y,z'
'-x,-y,-z'
'-x,y,-z'
'x,-y,z'
'x+1/2,y+1/2,z'
'-x+1/2,-y+1/2,-z'
'-x+1/2,y+1/2,-z'
'x+1/2,-y+1/2,z'
loop_
_atom_site_label
_atom_site_type_symbol
_atom_site_fract_x
_atom_site_fract_y
_atom_site_fract_z
_atom_site_occupancy
La1 La 0.222 0.000 0.210 1
La2 La 0.244 0.326 0.208 1
Ru1 Ru 0.000 0.166 0.000 1
S1 S 0.000 0.500 0.000 1
Cl1 Cl 0.000 0.000 0.500 1
Cl2 Cl 0.000 0.334 0.500 1
```